Record 1
Material: MgNi2Ge2
Method: DFT, PBE-GGA
State: relaxed

Unit cell a=7.0518 b=7.0518 c=2.9184 alpha=90.00 beta=90.00 gamma=90.00
Last column: nearest neighbours and their distance in Å.
Atoms (fractional coordinates):
Mg  0.0000  0.0000  0.0000  4 Ni 2.76, 2 Mg 2.92, 8 Ge 3.02
Mg  0.5000  0.5000  0.0000  4 Ni 2.76, 2 Mg 2.92, 8 Ge 3.02
Ni  0.1305  0.3695  0.0000  6 Ge 2.52-2.54, 1 Ni 2.60, 2 Mg 2.76
Ni  0.3695  0.8695  0.0000  6 Ge 2.52-2.54, 1 Ni 2.60, 2 Mg 2.76
Ni  0.6305  0.1305  0.0000  6 Ge 2.52-2.54, 1 Ni 2.60, 2 Mg 2.76
Ni  0.8695  0.6305  0.0000  6 Ge 2.52-2.54, 1 Ni 2.60, 2 Mg 2.76
Ge  0.1632  0.6632  0.5000  6 Ni 2.52-2.54
Ge  0.3368  0.1632  0.5000  6 Ni 2.52-2.54
Ge  0.6632  0.8368  0.5000  6 Ni 2.52-2.54
Ge  0.8368  0.3368  0.5000  6 Ni 2.52-2.54

Calculated values
Spin magnetization (μB/f.u.): 0.0
Total DFT energy (no corrections) (eV per atom): -4.645
Calculated density (g/cm3): 6.6

Record 2
Material: Eu2CdIn
Method: DFT, PBE-GGA
State: relaxed

Unit cell a=10.6060 b=10.6060 c=10.6060 alpha=20.80 beta=20.80 gamma=20.80
Last column: nearest neighbours and their distance in Å.
Atoms (fractional coordinates):
Eu  0.2502  0.2502  0.2502  3 In 3.40, 3 Cd 3.41
Eu  0.7498  0.7498  0.7498  3 In 3.40, 3 Cd 3.41
Cd  0.5000  0.5000  0.5000  6 Eu 3.41
In  0.0000  0.0000  0.0000  6 Eu 3.40

Calculated values
Spin magnetization (μB/f.u.): 15.1
Total DFT energy (no corrections) (eV per atom): -6.265
Calculated density (g/cm3): 6.7

Record 3
Material: Pm10Ga3Bi3
Method: DFT, PBE-GGA
State: relaxed

Unit cell a=9.1331 b=9.1331 c=6.7584 alpha=90.00 beta=90.00 gamma=120.00
Last column: nearest neighbours and their distance in Å.
Atoms (fractional coordinates):
Pm  0.0000  0.2384  0.0000  3 Ga 3.15-3.35
Pm  0.0000  0.7613  0.5000  3 Bi 3.16-3.33
Pm  0.2384  0.0000  0.0000  3 Ga 3.15-3.35
Pm  0.2387  0.2387  0.5000  3 Bi 3.16-3.33
Pm  0.3333  0.6667  0.2375  2 Pm 3.21-3.55, 3 Ga 3.23, 3 Bi 3.32
Pm  0.3333  0.6667  0.7625  2 Pm 3.21-3.55, 3 Ga 3.23, 3 Bi 3.32
Pm  0.6667  0.3333  0.2375  2 Pm 3.21-3.55, 3 Ga 3.23, 3 Bi 3.32
Pm  0.6667  0.3333  0.7625  2 Pm 3.21-3.55, 3 Ga 3.23, 3 Bi 3.32
Pm  0.7613  0.0000  0.5000  3 Bi 3.16-3.33
Pm  0.7616  0.7616  0.0000  3 Ga 3.15-3.35
Ga  0.0000  0.6050  0.0000  7 Pm 3.15-3.35
Ga  0.3950  0.3950  0.0000  7 Pm 3.15-3.35
Ga  0.6050  0.0000  0.0000  7 Pm 3.15-3.35
Bi  0.0000  0.3966  0.5000  7 Pm 3.16-3.33
Bi  0.3966  0.0000  0.5000  7 Pm 3.16-3.33
Bi  0.6034  0.6034  0.5000  7 Pm 3.16-3.33

Calculated values
Spin magnetization (μB/f.u.): 0.0
Total DFT energy (no corrections) (eV per atom): -4.849
Calculated density (g/cm3): 7.8

Number 1: ΔE_f -0.166 eV/atom. Number 2: ΔE_f -0.215 eV/atom. Number 3: ΔE_f -0.585 eV/atom.